No. 1
Below is a relaxed structure of NbGa2BIr, with properties calculated at the PBE level.

Results
The calculation puts the formation energy at 0.67 eV/atom.

Cell: 4.7871 4.7871 3.9714 Å, 90.00 90.00 90.00°
Site moments in Bohr magnetons follow the coordinates.
Fractional positions:
Nb1 0.5000 0.5000 0.5000  1.83
Ir1 0.0000 0.0000 0.0000  0.20
B1 0.0000 0.0000 0.5000  0.01
Ga1 0.0000 0.5000 0.0000  0.00
Ga2 0.5000 0.0000 0.0000  0.00

---

No. 2
Below is a relaxed structure of MnTeSe2, with properties calculated at the PBE level.

Results
The calculation puts the uncorrected formation energy at -0.88 eV/f.u.

Cell: 8.6148 8.6148 8.6148 Å, 24.84 24.84 24.84°
Site moments in Bohr magnetons follow the coordinates.
Fractional positions:
Mn1 0.5000 0.5000 0.5000  3.59
Te1 0.0000 0.0000 0.0000  0.04
Se1 0.8889 0.8889 0.8889  -0.05
Se2 0.1111 0.1111 0.1111  -0.05

---

No. 3
Below is a relaxed structure of Tm3AlGa2Ni9, with properties calculated at the PBE level.

Results
The calculation puts the formation energy at -0.15 eV/atom.

Cell: 5.9164 5.9164 8.6486 Å, 90.00 90.00 120.00°
Fractional positions:
Tm1 0.3333 0.6667 0.7226
Tm2 0.0000 0.0000 0.0000
Tm3 0.6667 0.3333 0.2774
Al1 0.0000 0.0000 0.5000
Ga1 0.3333 0.6667 0.1839
Ga2 0.6667 0.3333 0.8161
Ni1 0.8681 0.1319 0.7244
Ni2 0.8681 0.7362 0.7244
Ni3 0.2638 0.1319 0.7244
Ni4 0.7362 0.8681 0.2756
Ni5 0.1319 0.2638 0.2756
Ni6 0.1319 0.8681 0.2756
Ni7 0.5000 0.0000 0.0000
Ni8 0.0000 0.5000 0.0000
Ni9 0.5000 0.5000 0.0000

---

No. 4
Below is a relaxed structure of Li5CaAg3, with properties calculated at the PBE level.

Results
The calculation puts the formation energy at -0.11 eV/atom.

Cell: 6.1975 8.1525 8.1522 Å, 120.00 90.00 90.00°
Fractional positions:
Li1 0.0000 0.6667 0.3333
Li2 0.5000 0.3333 0.6667
Li3 0.0000 0.3333 0.6667
Li4 0.5000 0.6667 0.3333
Li5 0.7500 0.6505 0.6505
Li6 0.7500 0.0000 0.3495
Li7 0.7500 0.3495 0.0000
Li8 0.2500 0.3495 0.3495
Li9 0.2500 0.0000 0.6505
Li10 0.2500 0.6505 0.0000
Ca1 0.0000 0.0000 0.0000
Ca2 0.5000 0.0000 0.0000
Ag1 0.7500 0.3330 0.3330
Ag2 0.7500 0.0000 0.6670
Ag3 0.7500 0.6670 0.0000
Ag4 0.2500 0.6670 0.6670
Ag5 0.2500 0.0000 0.3330
Ag6 0.2500 0.3330 0.0000

---

No. 5
Below is a relaxed structure of Na3Hg8, with properties calculated at the PBE level.

Results
The calculation puts the formation energy at -0.12 eV/atom. The calculation puts the energy above the most stable polymorph in this dataset at 72 meV per atom.

Cell: 7.4032 7.4032 7.4032 Å, 108.81 108.81 108.81°
Fractional positions:
Na1 0.5000 0.0000 0.5000
Na2 0.0000 0.5000 0.5000
Na3 0.5000 0.5000 0.0000
Hg1 0.8427 0.3196 0.0121
Hg2 0.3196 0.0121 0.8427
Hg3 0.0121 0.8427 0.3196
Hg4 0.2932 0.2932 0.2932
Hg5 0.7068 0.7068 0.7068
Hg6 0.9879 0.1573 0.6804
Hg7 0.6804 0.9879 0.1573
Hg8 0.1573 0.6804 0.9879

---

No. 6
Below is a relaxed structure of Ho3HPbS, with properties calculated at the PBE level.

Results
Its total energy is -0.1882 Ha/atom.

Cell: 4.0799 8.0011 8.5133 Å, 100.15 90.00 90.00°
Fractional positions:
Ho1 0.7500 0.8822 0.1267
Ho2 0.2500 0.1178 0.8733
Ho3 0.2500 0.8218 0.4575
Ho4 0.7500 0.1782 0.5425
Ho5 0.7500 0.4305 0.1713
Ho6 0.2500 0.5695 0.8287
H1 0.2500 0.0887 0.6022
H2 0.7500 0.9113 0.3978
Pb1 0.2500 0.1700 0.2564
Pb2 0.7500 0.8300 0.7436
S1 0.2500 0.6547 0.1493
S2 0.7500 0.3453 0.8507

---

No. 7
Below is a relaxed structure of TlInOs, with properties calculated at the PBE level.

Results
The calculation puts the formation energy at 0.74 eV/atom. The calculation puts the energy above the most stable polymorph in this dataset at 72 meV per atom.

Cell: 3.1449 3.1449 7.2702 Å, 90.00 90.00 120.00°
Fractional positions:
In1 0.0000 0.0000 0.0357
Os1 0.6667 0.3333 0.3247
Tl1 0.3333 0.6667 0.6396

---

No. 8
Below is a relaxed structure of Sc4Ga12Ir, with properties calculated at the PBE level.

Results
The calculation puts the formation energy at -0.53 eV/atom.

Cell: 7.2726 7.2726 7.2726 Å, 109.47 109.47 109.47°
Fractional positions:
Sc1 0.0000 0.5000 0.0000
Sc2 0.0000 0.0000 0.5000
Sc3 0.5000 0.5000 0.5000
Sc4 0.5000 0.0000 0.0000
Ga1 0.2937 0.2937 0.0000
Ga2 0.7063 0.7063 0.0000
Ga3 0.7063 0.0000 0.7063
Ga4 0.2937 0.0000 0.2937
Ga5 0.0000 0.2937 0.2937
Ga6 0.0000 0.7063 0.7063
Ga7 0.2500 0.7500 0.5000
Ga8 0.7500 0.2500 0.5000
Ga9 0.2500 0.5000 0.7500
Ga10 0.7500 0.5000 0.2500
Ga11 0.5000 0.2500 0.7500
Ga12 0.5000 0.7500 0.2500
Ir1 0.0000 0.0000 0.0000

---

No. 9
Below is a relaxed structure of Li6CeTl6, with properties calculated at the PBE level.

Results
The calculation puts the formation energy at -0.21 eV/atom.

Cell: 5.9412 7.5460 7.5460 Å, 80.74 66.82 66.82°
Site moments in Bohr magnetons follow the coordinates.
Fractional positions:
Li1 0.0000 0.5000 0.0000  0.00
Li2 0.5000 0.5000 0.0000  0.00
Li3 0.0000 0.0000 0.5000  0.00
Li4 0.5000 0.0000 0.5000  0.00
Li5 0.5000 0.7604 0.2396  0.00
Li6 0.5000 0.2396 0.7604  0.00
Ce1 0.0000 0.0000 0.0000  0.93
Tl1 0.3404 0.6596 0.6596  0.00
Tl2 0.6596 0.3404 0.3404  0.00
Tl3 0.0000 0.3389 0.6611  0.01
Tl4 0.0000 0.6611 0.3389  0.01
Tl5 0.3200 0.1800 0.1800  0.01
Tl6 0.6800 0.8200 0.8200  0.01

---

No. 10
Below is a relaxed structure of Cs5Sb3Pt3, with properties calculated at the PBE level.

Results
The calculation puts the uncorrected formation energy at -3.75 eV/f.u.

Cell: 4.5725 12.2110 12.1412 Å, 106.62 67.90 67.99°
Fractional positions:
Cs1 0.4006 0.3440 0.6636
Cs2 0.4348 0.6559 0.3192
Cs3 0.4203 0.2420 0.2464
Cs4 0.6829 0.9999 0.7262
Cs5 0.1479 0.7584 0.0042
Sb1 0.6899 0.6265 0.5935
Sb2 0.4884 0.0001 0.4213
Sb3 0.5660 0.3737 0.9675
Pt1 0.0262 0.6772 0.7066
Pt2 0.0556 0.3224 0.0293
Pt3 0.0874 0.0000 0.3223

---

No. 11
Below is a relaxed structure of Li2GdAu, with properties calculated at the PBE level.

Results
The calculation puts the formation energy at -0.24 eV/atom. The calculation puts the energy above the most stable polymorph in this dataset at 26 meV per atom.

Cell: 3.5062 3.5062 6.5226 Å, 90.00 90.00 90.00°
Site moments in Bohr magnetons follow the coordinates.
Fractional positions:
Gd1 0.5000 0.5000 0.5000  7.30
Au1 0.5000 0.5000 0.0000  0.01
Li1 0.0000 0.0000 0.8184  0.01
Li2 0.0000 0.0000 0.1816  0.01

---

No. 12
Below is a relaxed structure of TaSbP2Cl, with properties calculated at the PBE level.

Results
The calculation puts the energy above the most stable polymorph in this dataset at 0 meV per atom. The calculation puts the uncorrected formation energy at 0.95 eV/f.u.

Cell: 4.9424 4.9424 4.6725 Å, 90.00 90.00 90.00°
Fractional positions:
Sb1 0.5000 0.5000 0.5000
Cl1 0.0000 0.0000 0.5000
P1 0.0000 0.5000 0.0000
P2 0.5000 0.0000 0.0000
Ta1 0.0000 0.0000 0.0000